No. 1
Computed, not measured: SrCuAsSe3 after structural relaxation at the PBE level of DFT.

Calculated values
Theoretical density = 5.275 g/cm3
Uncorrected formation energy = -0.722 eV per atom
Fermi-level density of states = 0.11 states/eV/atom

Structure (POSCAR):
```
SrCuAsSe3
1.0
4.029 0.000 0.000
0.000 8.362 0.539
0.000 -2.675 8.477
As Se Cu Sr
2 6 2 2
direct
0.250 0.666 0.142
0.750 0.334 0.858
0.250 0.768 0.473
0.750 0.444 0.158
0.250 0.556 0.842
0.250 0.120 0.876
0.750 0.232 0.527
0.750 0.880 0.124
0.750 0.927 0.418
0.250 0.073 0.582
0.250 0.185 0.253
0.750 0.815 0.747
```

=====

No. 2
Computed, not measured: SrCu2AsSe4 after structural relaxation at the PBE level of DFT.

Calculated values
Theoretical density = 5.049 g/cm3
Uncorrected formation energy = -0.513 eV per atom
Fermi-level density of states = 0.52 states/eV/atom

Structure (POSCAR):
```
SrCu2AsSe4
1.0
-2.307 6.089 -1.268
-4.312 1.013 -4.642
-5.513 2.057 2.557
Sr Cu Se As
1 2 4 1
direct
0.000 0.000 0.000
0.835 0.665 0.665
0.165 0.335 0.335
0.461 0.126 0.511
0.903 0.511 0.126
0.097 0.874 0.489
0.539 0.489 0.874
0.500 0.500 0.500
```

=====

No. 3
Computed, not measured: CuTeAsSe after structural relaxation at the PBE level of DFT.

Calculated values
Theoretical density = 5.385 g/cm3
Uncorrected formation energy = -0.008 eV per atom
Fermi-level density of states = 0.00 states/eV/atom

Structure (POSCAR):
```
CuTeAsSe
1.0
4.486 -0.020 -0.007
-2.256 3.877 0.007
-2.216 -1.292 6.135
Te Cu Se As
1 1 1 1
direct
0.472 0.621 0.093
0.200 0.985 0.185
0.468 0.118 0.586
0.189 0.477 0.666
```

=====

No. 4
Computed, not measured: TlCuAsSe2 after structural relaxation at the PBE level of DFT.

Calculated values
Theoretical density = 6.229 g/cm3
Uncorrected formation energy = -0.050 eV per atom
Fermi-level density of states = 0.39 states/eV/atom
Energy above the lowest structure with this stoichiometry = 0 meV/atom

Structure (POSCAR):
```
TlCuAsSe2
1.0
5.186 0.000 0.000
0.000 7.116 0.651
0.000 -1.285 7.118
Cu Se As Tl
2 4 2 2
direct
0.000 0.000 0.000
0.000 0.000 0.500
0.686 0.773 0.927
0.686 0.227 0.573
0.314 0.773 0.427
0.314 0.227 0.073
0.358 0.000 0.750
0.642 0.000 0.250
0.148 0.500 0.750
0.852 0.500 0.250
```

=====

No. 5
Computed, not measured: TlCuAs2Se4 after structural relaxation at the PBE level of DFT.

Calculated values
Theoretical density = 6.142 g/cm3
Uncorrected formation energy = -0.068 eV per atom
Fermi-level density of states = 0.21 states/eV/atom

Structure (POSCAR):
```
TlCuAs2Se4
1.0
-6.647 -0.886 0.161
2.655 -6.017 1.314
1.975 4.419 3.736
Se Cu Tl As
4 1 1 2
direct
0.104 0.104 0.671
0.567 0.567 0.671
0.818 0.397 0.214
0.397 0.818 0.214
0.500 0.500 0.000
0.057 0.057 0.114
0.779 0.279 0.558
0.279 0.779 0.558
```

=====

No. 6
Computed, not measured: Tl2Cu2AsSe4 after structural relaxation at the PBE level of DFT.

Calculated values
Theoretical density = 7.183 g/cm3
Uncorrected formation energy = -0.225 eV per atom
Fermi-level density of states = 0.41 states/eV/atom

Structure (POSCAR):
```
Tl2Cu2AsSe4
1.0
3.923 0.000 0.000
-1.961 7.454 -0.075
0.000 -2.664 7.354
Se As Cu Tl
4 1 2 2
direct
0.194 0.388 0.181
0.476 0.952 0.222
0.524 0.048 0.778
0.806 0.612 0.819
0.000 0.000 0.000
0.306 0.613 0.006
0.694 0.387 0.994
0.131 0.261 0.559
0.869 0.739 0.441
```

=====

No. 7
Computed, not measured: TlCuAsSe2 after structural relaxation at the PBE level of DFT.

Calculated values
Theoretical density = 6.870 g/cm3
Uncorrected formation energy = 0.275 eV per atom
Fermi-level density of states = 0.78 states/eV/atom
Energy above the lowest structure with this stoichiometry = 325 meV/atom

Structure (POSCAR):
```
TlCuAsSe2
1.0
5.127 0.000 0.000
0.000 5.127 0.000
0.000 0.000 4.605
Se Tl As Cu
2 1 1 1
direct
0.000 0.500 0.000
0.500 0.000 0.000
0.500 0.500 0.500
0.000 0.000 0.500
0.000 0.000 0.000
```

=====

No. 8
Computed, not measured: TlCuAsSe2 after structural relaxation at the PBE level of DFT.

Calculated values
Theoretical density = 5.289 g/cm3
Uncorrected formation energy = 1.141 eV per atom
Fermi-level density of states = 0.79 states/eV/atom
Energy above the lowest structure with this stoichiometry = 1191 meV/atom

Structure (POSCAR):
```
TlCuAsSe2
1.0
-4.092 0.654 -3.509
0.526 -5.169 -1.577
-3.466 -1.501 3.762
Tl Cu Se As
1 1 2 1
direct
0.000 0.000 0.000
0.500 0.500 0.500
0.500 0.000 0.000
0.000 0.500 0.000
0.000 0.000 0.500
```